1.
CaMgTl6 | PBE | optimized geometry

Lattice parameters (Å, degrees): 5.3613 6.7359 6.7359 71.45 90.00 90.00
Last column: nearest neighbours and their distance in Å.
Fractional positions:
Tl1 0.0000 0.7728 0.7728  8 Tl 3.33-3.43, 2 Ca 3.65
Tl2 0.0000 0.2859 0.7141  2 Mg 3.17, 5 Tl 3.35-3.43, 2 Ca 3.50
Tl3 0.5000 0.0000 0.5000  4 Tl 3.33, 2 Mg 3.37, 2 Ca 3.37
Tl4 0.0000 0.7141 0.2859  2 Mg 3.17, 5 Tl 3.35-3.43, 2 Ca 3.50
Tl5 0.5000 0.5000 0.0000  4 Tl 3.33, 2 Ca 3.37, 2 Mg 3.37
Tl6 0.0000 0.2272 0.2272  8 Tl 3.33-3.43, 2 Ca 3.65
Mg1 0.5000 0.5000 0.5000  8 Tl 3.17-3.37
Ca1 0.5000 0.0000 0.0000  12 Tl 3.37-3.65

Results
- Magnetization: 0.00 μB per formula unit
- ΔH_f (0 K): -111 meV/atom
- Energy above the lowest structure with this stoichiometry: 0 meV per atom
- E: -2.3351 eV per atom

2.
TiMnPt3 | PBE | optimized geometry

Lattice parameters (Å, degrees): 5.1940 5.2340 6.9953 111.97 96.30 72.95
Last column: nearest neighbours and their distance in Å.
Fractional positions:
Mn1 0.7500 0.4637 0.9273  4 Pt 2.60-2.69, 2 Mn 2.76
Mn2 0.2500 0.5363 0.0727  4 Pt 2.60-2.69, 2 Mn 2.76
Pt1 0.1661 0.1068 0.6760  1 Ti 2.50, 1 Pt 2.69, 1 Mn 2.69
Pt2 0.6661 0.4308 0.3240  1 Ti 2.50, 1 Pt 2.69, 1 Mn 2.69
Pt3 0.5000 0.0000 0.0000  6 Pt 2.60-2.82, 2 Mn 2.60, 2 Ti 2.66
Pt4 0.0000 0.0000 0.0000  6 Pt 2.60-2.82, 2 Mn 2.60, 2 Ti 2.66
Pt5 0.8339 0.8932 0.3240  1 Ti 2.50, 1 Pt 2.69, 1 Mn 2.69
Pt6 0.3339 0.5692 0.6760  1 Ti 2.50, 1 Pt 2.69, 1 Mn 2.69
Ti1 0.2500 0.1787 0.3575  4 Pt 2.50-2.66
Ti2 0.7500 0.8213 0.6425  4 Pt 2.50-2.66

Results
- Magnetization: 4.38 μB per formula unit
- ΔH_f (0 K): -362 meV/atom
- Energy above the lowest structure with this stoichiometry: 0 meV per atom
- E: -7.3994 eV per atom

3.
SiTe4Pd | PBE | optimized geometry

Lattice parameters (Å, degrees): 7.6394 7.6394 7.6394 106.11 106.11 116.43
Last column: nearest neighbours and their distance in Å.
Fractional positions:
Te1 0.2528 0.9440 0.6911  1 Si 2.66, 2 Pd 2.70-2.84
Te2 0.2528 0.5617 0.3089  1 Si 2.66, 2 Pd 2.70-2.84
Te3 0.1892 0.9976 0.1916  2 Si 2.65-2.83, 1 Pd 2.68
Te4 0.7476 0.4392 0.6916  2 Si 2.65-2.83, 1 Pd 2.68
Te5 0.3117 0.5028 0.8089  1 Si 2.66, 2 Pd 2.70-2.84
Te6 0.7476 0.0560 0.3084  2 Si 2.65-2.83, 1 Pd 2.68
Te7 0.8060 0.9976 0.8084  2 Si 2.65-2.83, 1 Pd 2.68
Te8 0.6940 0.5028 0.1911  1 Si 2.66, 2 Pd 2.70-2.84
Pd1 0.2482 0.2482 0.0000  6 Te 2.68-2.84
Pd2 0.9982 0.4982 0.5000  6 Te 2.68-2.84
Si1 0.5009 0.0009 0.5000  6 Te 2.65-2.83
Si2 0.7509 0.7509 0.0000  6 Te 2.65-2.83

Results
- Magnetization: 0.00 μB per formula unit
- Energy above the lowest structure with this stoichiometry: 188 meV per atom
- E: -3.8302 eV per atom
- Energy relative to the elements, uncorrected: 0.03 eV per atom

4.
K6RbNaO | PBE | optimized geometry

Lattice parameters (Å, degrees): 9.4148 8.7462 7.9133 92.05 84.58 50.60
Last column: nearest neighbours and their distance in Å.
Fractional positions:
K1 0.1072 0.5054 0.8545  1 O 2.67
K2 0.1600 0.6833 0.4357  1 O 2.67
K3 0.5681 0.3756 0.6643  1 O 2.69
K4 0.5513 0.1539 0.2505  1 O 2.68
K5 0.0941 0.2994 0.4418  1 O 2.67
K6 0.5249 0.9705 0.6620  1 O 2.69
Na1 0.6013 0.6458 0.1586  7 K 4.19-4.69, 2 Rb 4.28-4.39
Rb1 0.0602 0.0339 0.9780  2 Na 4.28-4.39, 7 K 4.42-4.66
O1 0.3326 0.3322 0.5546  6 K 2.67-2.69

Results
- Magnetization: 0.00 μB per formula unit
- E: -1.8757 eV per atom
- Energy relative to the elements, uncorrected: -0.34 eV per atom

5.
Na3UCr3Se8 | PBE | optimized geometry

Lattice parameters (Å, degrees): 7.5866 7.5875 8.2530 117.39 90.00 120.00
Last column: nearest neighbours and their distance in Å.
Fractional positions:
Na1 0.0000 0.0000 0.0000  6 Se 3.02-3.05
Na2 0.5000 0.5000 0.0000  6 Se 3.02-3.05
Na3 0.0000 0.5000 0.0000  6 Se 3.02-3.05
Se1 0.2680 0.5360 0.3042  3 Cr 2.58
Se2 0.7154 0.9653 0.7150  2 Cr 2.60, 1 U 2.78
Se3 0.7320 0.4640 0.6958  3 Cr 2.58
Se4 0.7500 0.5001 0.2849  2 Cr 2.60, 1 U 2.78
Se5 0.2846 0.0347 0.2850  2 Cr 2.60, 1 U 2.78
Se6 0.7501 0.0347 0.2850  2 Cr 2.60, 1 U 2.78
Se7 0.2499 0.9653 0.7150  2 Cr 2.60, 1 U 2.78
Se8 0.2500 0.4999 0.7151  2 Cr 2.60, 1 U 2.78
U1 0.0000 0.0000 0.5000  6 Se 2.78
Cr1 0.5000 0.0000 0.5000  6 Se 2.58-2.60
Cr2 0.5000 0.5000 0.5000  6 Se 2.58-2.60
Cr3 0.0000 0.5000 0.5000  6 Se 2.58-2.60

Results
- Magnetization: 11.00 μB per formula unit
- E: -5.6722 eV per atom
- Energy relative to the elements, uncorrected: -0.87 eV per atom

6.
Rb2CdHgPt | PBE | optimized geometry

Lattice parameters (Å, degrees): 6.4806 6.4806 5.2559 90.00 90.00 90.00
Last column: nearest neighbours and their distance in Å.
Fractional positions:
Rb1 0.0000 0.5000 0.0000  2 Pt 3.24
Rb2 0.5000 0.0000 0.0000  2 Pt 3.24
Cd1 0.5000 0.5000 0.5000  8 Rb 4.17, 4 Hg 4.58
Hg1 0.0000 0.0000 0.5000  2 Pt 2.63
Pt1 0.0000 0.0000 0.0000  2 Hg 2.63

Results
- Magnetization: 0.24 μB per formula unit
- ΔH_f (0 K): 0 meV/atom
- Energy above the lowest structure with this stoichiometry: 66 meV per atom
- E: -1.8389 eV per atom

7.
CrPb2Se | PBE | optimized geometry

Lattice parameters (Å, degrees): 3.5743 5.1246 5.9267 68.41 90.00 90.00
Last column: nearest neighbours and their distance in Å.
Fractional positions:
Se1 0.0000 0.7351 0.4805  2 Cr 2.50
Pb1 0.0000 0.9660 0.9175  2 Se 3.10-3.22, 4 Cr 3.12-3.31
Pb2 0.5000 0.2981 0.3201  2 Cr 2.97-3.26, 4 Se 3.23-3.27
Cr1 0.5000 0.5008 0.7818  2 Se 2.50

Results
- Magnetization: 3.55 μB per formula unit
- E: -5.0422 eV per atom
- Energy relative to the elements, uncorrected: 0.09 eV per atom

8.
Ta2TcAs | PBE | optimized geometry

Lattice parameters (Å, degrees): 3.3547 4.4360 4.4360 90.00 90.00 90.00
Last column: nearest neighbours and their distance in Å.
Fractional positions:
Tc1 0.5000 0.5000 0.0000  8 Ta 2.78
Ta1 0.0000 0.5000 0.5000  4 Tc 2.78, 4 As 2.78
Ta2 0.0000 0.0000 0.0000  4 Tc 2.78, 4 As 2.78
As1 0.5000 0.0000 0.5000  8 Ta 2.78

Results
- Magnetization: 0.00 μB per formula unit
- ΔH_f (0 K): -44 meV/atom
- E: -9.7239 eV per atom